# 1
Here is a geometry-optimized Re3GeCl structure from the Alexandria database. Energies are from PBE.

Structure (extended XYZ):
```
5
Lattice="4.399 0.000 0.000 0.000 4.399 0.000 0.000 0.000 4.399" Properties=species:S:1:pos:R:3 pbc="T T T"
Re 0.000 0.000 2.200
Re 0.000 2.200 0.000
Re 2.200 0.000 0.000
Ge 2.200 2.200 2.200
Cl 0.000 0.000 0.000
```

Output
uncorrected formation energy	1922	meV per atom
M_tot	1.6	μB/cell



# 2
Here is a geometry-optimized ReGeS2Cl structure from the Alexandria database. Energies are from PBE.

Structure (extended XYZ):
```
5
Lattice="4.587 0.000 0.000 0.000 4.587 0.000 0.000 0.000 5.017" Properties=species:S:1:pos:R:3 pbc="T T T"
Re 0.000 0.000 0.000
Ge 2.294 2.294 2.509
S 0.000 2.294 0.000
S 2.294 0.000 0.000
Cl 0.000 0.000 2.509
```

Output
uncorrected formation energy	356	meV per atom
M_tot	0.8	μB/cell



# 3
Here is a geometry-optimized ReGeS2Cl structure from the Alexandria database. Energies are from PBE.

Structure (extended XYZ):
```
5
Lattice="4.797 0.000 0.000 0.000 4.797 0.000 0.000 0.000 4.732" Properties=species:S:1:pos:R:3 pbc="T T T"
Re 0.000 0.000 0.000
Ge 2.398 2.398 2.366
S 0.000 2.398 2.366
S 2.398 0.000 2.366
Cl 2.398 2.398 0.000
```

Output
uncorrected formation energy	1088	meV per atom
M_tot	4.8	μB/cell



# 4
Here is a geometry-optimized ReSn2GeCl structure from the Alexandria database. Energies are from PBE.

Structure (extended XYZ):
```
5
Lattice="5.204 0.000 0.000 0.000 5.204 0.000 0.000 0.000 4.802" Properties=species:S:1:pos:R:3 pbc="T T T"
Re 0.000 0.000 0.000
Sn 0.000 2.602 0.000
Sn 2.602 0.000 0.000
Ge 0.000 0.000 2.401
Cl 2.602 2.602 2.401
```

Output
uncorrected formation energy	-150	meV per atom
M_tot	0.0	μB/cell



# 5
Here is a geometry-optimized VReGe2Cl structure from the Alexandria database. Energies are from PBE.

Structure (extended XYZ):
```
5
Lattice="4.912 0.000 0.000 0.000 4.912 0.000 0.000 0.000 4.316" Properties=species:S:1:pos:R:3 pbc="T T T"
V 0.000 0.000 0.000
Re 2.456 2.456 2.158
Ge 0.000 2.456 0.000
Ge 2.456 0.000 0.000
Cl 0.000 0.000 2.158
```

Output
uncorrected formation energy	1144	meV per atom
M_tot	4.2	μB/cell



# 6
Here is a geometry-optimized GeRhCl2 structure from the Alexandria database. Energies are from PBE.

Structure (extended XYZ):
```
8
Lattice="-2.236 2.236 8.247 2.236 -2.236 8.247 2.236 2.236 -8.247" Properties=species:S:1:pos:R:3 pbc="T T T"
Ge 0.000 0.000 0.000
Ge 0.000 2.236 4.124
Rh 2.236 0.000 4.124
Rh 0.000 0.000 8.247
Cl 1.118 -1.007 6.185
Cl 1.229 1.118 2.062
Cl 1.118 3.243 -2.062
Cl 1.007 1.118 10.309
```

Output
uncorrected formation energy	156	meV per atom
M_tot	2.0	μB/cell



# 7
Here is a geometry-optimized GeRhCl2 structure from the Alexandria database. Energies are from PBE.

Structure (extended XYZ):
```
4
Lattice="0.000 3.310 3.310 3.310 0.000 3.310 3.310 3.310 0.000" Properties=species:S:1:pos:R:3 pbc="T T T"
Ge 0.000 0.000 0.000
Rh 3.310 3.310 3.310
Cl 1.655 1.655 1.655
Cl 4.965 4.965 4.965
```

Output
uncorrected formation energy	280	meV per atom
M_tot	1.0	μB/cell



# 8
Here is a geometry-optimized GeRh3Cl structure from the Alexandria database. Energies are from PBE.

Structure (extended XYZ):
```
5
Lattice="4.446 0.000 0.000 0.000 4.446 0.000 0.000 0.000 4.446" Properties=species:S:1:pos:R:3 pbc="T T T"
Ge 0.000 0.000 0.000
Rh 0.000 2.223 2.223
Rh 2.223 0.000 2.223
Rh 2.223 2.223 0.000
Cl 2.223 2.223 2.223
```

Output
uncorrected formation energy	760	meV per atom
M_tot	0.7	μB/cell



# 9
Here is a geometry-optimized Ge2Rh2Cl structure from the Alexandria database. Energies are from PBE.

Structure (extended XYZ):
```
10
Lattice="7.372 0.000 0.000 0.000 7.372 0.000 0.000 0.000 2.968" Properties=species:S:1:pos:R:3 pbc="T T T"
Ge 1.099 2.587 0.000
Ge 2.587 6.273 0.000
Ge 4.785 1.099 0.000
Ge 6.273 4.785 0.000
Rh 1.037 4.723 1.484
Rh 2.649 1.037 1.484
Rh 4.723 6.334 1.484
Rh 6.334 2.649 1.484
Cl 0.000 0.000 1.484
Cl 3.686 3.686 1.484
```

Output
uncorrected formation energy	-235	meV per atom
M_tot	0.0	μB/cell



# 10
Here is a geometry-optimized Ge3RhCl structure from the Alexandria database. Energies are from PBE.

Structure (extended XYZ):
```
5
Lattice="4.804 0.000 0.000 0.000 4.804 0.000 0.000 0.000 4.804" Properties=species:S:1:pos:R:3 pbc="T T T"
Ge 0.000 0.000 2.402
Ge 0.000 2.402 0.000
Ge 2.402 0.000 0.000
Rh 2.402 2.402 2.402
Cl 0.000 0.000 0.000
```

Output
uncorrected formation energy	1029	meV per atom
M_tot	0.0	μB/cell



# 11
Here is a geometry-optimized Ge3RhCl structure from the Alexandria database. Energies are from PBE.

Structure (extended XYZ):
```
5
Lattice="4.837 0.000 0.000 0.000 4.837 0.000 0.000 0.000 4.837" Properties=species:S:1:pos:R:3 pbc="T T T"
Ge 0.000 0.000 2.419
Ge 0.000 2.419 0.000
Ge 2.419 0.000 0.000
Rh 0.000 0.000 0.000
Cl 2.419 2.419 2.419
```

Output
uncorrected formation energy	15	meV per atom
M_tot	0.0	μB/cell



# 12
Here is a geometry-optimized GeRh3Cl structure from the Alexandria database. Energies are from PBE.

Structure (extended XYZ):
```
5
Lattice="4.646 0.000 0.000 0.000 4.646 0.000 0.000 0.000 4.646" Properties=species:S:1:pos:R:3 pbc="T T T"
Ge 0.000 0.000 0.000
Rh 0.000 0.000 2.323
Rh 0.000 2.323 0.000
Rh 2.323 0.000 0.000
Cl 2.323 2.323 2.323
```

Output
uncorrected formation energy	819	meV per atom
M_tot	2.2	μB/cell